GGA-PBE NbCrTc2H, relaxed; M_tot = 0.40 μB per atom; calculated total energy = -0.6415 Ry/atom
1.0
4.272 0.000 0.000
0.000 4.272 0.000
0.000 0.000 3.420
Cr Nb Tc H
1 1 2 1
Direct
0.000 0.000 0.500
0.500 0.500 0.500
0.000 0.500 0.000
0.500 0.000 0.000
0.000 0.000 0.000

GGA-PBE Sr4Li2F, relaxed; M_tot = 0.00 μB per atom; calculated total energy = -0.1825 Ry/atom; raw formation energy = -708 meV per atom
1.0
-0.491 -4.493 2.480
2.156 -2.441 -3.996
8.102 4.727 4.810
Sr Li F
4 2 1
Direct
0.816 0.816 0.631
0.184 0.184 0.369
0.000 0.500 0.000
0.500 0.000 0.000
0.632 0.632 0.264
0.368 0.368 0.736
0.000 0.000 0.000

GGA-PBE RbBiIr, relaxed; polymorph energy (0 for the lowest one) = 133 meV per atom; M_tot = 0.00 μB per atom; calculated total energy = -0.3260 Ry/atom; energy of formation = 0.1350 eV per atom
1.0
-3.996 5.994 -1.232
-1.800 -1.898 -3.394
-8.803 -5.979 8.013
Rb Bi Ir
4 4 4
Direct
0.762 0.000 0.270
0.762 0.500 0.770
0.250 0.000 0.855
0.250 0.500 0.355
0.815 0.000 0.006
0.815 0.500 0.506
0.421 0.000 0.583
0.421 0.500 0.083
0.038 0.000 0.565
0.038 0.500 0.065
0.187 0.000 0.124
0.187 0.500 0.624

GGA-PBE YHfTl2Au, relaxed; M_tot = 0.00 μB per atom; calculated total energy = -0.3013 Ry/atom; energy of formation = 0.7865 eV per atom
1.0
5.575 0.000 0.000
0.000 5.409 0.000
0.000 0.000 5.575
Y Hf Tl Au
1 1 2 1
Direct
0.000 0.500 0.000
0.000 0.000 0.000
0.000 0.000 0.500
0.500 0.000 0.000
0.500 0.500 0.500

GGA-PBE CaLa2Zn, relaxed; M_tot = 0.00 μB per atom; calculated total energy = -0.2499 Ry/atom; energy of formation = -0.1177 eV per atom
1.0
-1.755 -2.602 2.013
1.592 -2.668 -2.061
7.116 -0.272 5.850
Zn Ca La
1 1 2
Direct
0.000 0.000 0.497
0.500 0.500 0.694
0.000 0.000 0.015
0.500 0.500 0.294

GGA-PBE CuHgO2, relaxed; M_tot = 0.25 μB per atom; calculated total energy = -0.2836 Ry/atom; raw formation energy = -280 meV per atom
1.0
5.057 0.000 0.000
0.000 5.057 0.000
2.528 2.528 4.601
O Hg Cu
4 2 2
Direct
0.560 0.125 0.250
0.190 0.625 0.250
0.375 0.440 0.750
0.875 0.810 0.750
0.000 0.000 0.000
0.750 0.250 0.500
0.500 0.500 0.000
0.250 0.750 0.500

GGA-PBE Ca3LaTl, relaxed; M_tot = 0.00 μB per atom; calculated total energy = -0.1375 Ry/atom; energy of formation = 0.7892 eV per atom
1.0
5.945 0.000 0.000
0.000 5.945 0.000
0.000 0.000 5.945
Tl Ca La
1 3 1
Direct
0.500 0.500 0.500
0.000 0.500 0.000
0.000 0.000 0.500
0.500 0.000 0.000
0.000 0.000 0.000

GGA-PBE CuTcB, relaxed; polymorph energy (0 for the lowest one) = 100 meV per atom; M_tot = 0.00 μB per atom; calculated total energy = -0.5174 Ry/atom; energy of formation = 0.0064 eV per atom
1.0
-0.113 0.344 3.133
-4.725 -2.135 0.063
1.736 -3.828 0.483
B Tc Cu
2 2 2
Direct
0.000 0.207 0.370
0.500 0.793 0.870
0.000 0.076 0.877
0.500 0.924 0.377
0.000 0.559 0.073
0.500 0.441 0.573

GGA-PBE Pr4ThSb6, relaxed; M_tot = 0.00 μB per atom; calculated total energy = -0.4086 Ry/atom; raw formation energy = -898 meV per atom
1.0
-0.432 -1.054 4.432
-4.001 -5.722 -4.113
17.518 -11.510 -1.028
Pr Th Sb
8 2 12
Direct
0.860 0.719 0.541
0.406 0.811 0.133
0.140 0.281 0.459
0.594 0.189 0.867
0.860 0.719 0.959
0.140 0.281 0.041
0.594 0.189 0.633
0.406 0.811 0.367
0.662 0.324 0.250
0.338 0.676 0.750
0.500 0.000 0.000
0.500 0.000 0.500
0.041 0.081 0.320
0.959 0.919 0.680
0.959 0.919 0.820
0.041 0.081 0.180
0.765 0.530 0.404
0.235 0.470 0.596
0.235 0.470 0.904
0.765 0.530 0.096
0.293 0.586 0.250
0.707 0.414 0.750

GGA-PBE YThGeTe, relaxed; M_tot = 0.00 μB per atom; calculated total energy = -0.4794 Ry/atom; raw formation energy = -1111 meV per atom
1.0
4.313 0.000 0.000
2.157 3.735 0.000
2.157 1.245 7.190
Y Th Ge Te
1 1 1 1
Direct
0.510 0.510 0.469
0.989 0.989 0.032
0.248 0.248 0.257
0.753 0.753 0.742

GGA-PBE Re2Os, relaxed; polymorph energy (0 for the lowest one) = 1180 meV per atom; M_tot = 0.00 μB per atom; calculated total energy = -0.8038 Ry/atom; energy of formation = 1.1055 eV per atom
1.0
4.430 0.000 0.000
0.000 4.430 0.000
0.000 0.000 2.733
Os Re
1 2
Direct
0.000 0.000 0.000
0.000 0.500 0.500
0.500 0.000 0.500

GGA-PBE Mg2CoCl, relaxed; polymorph energy (0 for the lowest one) = 433 meV per atom; M_tot = 0.40 μB per atom; calculated total energy = -0.2183 Ry/atom; raw formation energy = 65 meV per atom
1.0
5.366 -0.003 0.001
1.433 5.171 -0.001
-2.393 -3.909 2.791
Cl Co Mg
1 1 2
Direct
0.750 0.250 0.500
0.250 0.750 0.500
0.992 0.992 0.000
0.508 0.508 0.000

GGA-PBE BaIn3W, relaxed; polymorph energy (0 for the lowest one) = 0 meV per atom; M_tot = 0.00 μB per atom; calculated total energy = -0.3330 Ry/atom; energy of formation = 0.0882 eV per atom
1.0
-2.741 4.608 0.204
-1.652 -0.759 -5.049
-4.307 -2.642 1.806
Ba W In
1 1 3
Direct
0.500 0.500 0.500
0.000 0.000 0.000
0.000 0.500 0.000
0.000 0.000 0.500
0.500 0.000 0.000

GGA-PBE BaCoReSe2, relaxed; M_tot = 0.56 μB per atom; calculated total energy = -0.3497 Ry/atom; raw formation energy = 932 meV per atom
1.0
4.764 0.000 0.000
0.000 5.502 0.000
0.000 0.000 4.764
Re Co Ba Se
1 1 1 2
Direct
0.500 0.500 0.500
0.000 0.000 0.000
0.000 0.500 0.000
0.000 0.000 0.500
0.500 0.000 0.000

GGA-PBE Na4Pu3MnN8, relaxed; M_tot = 0.69 μB per atom; calculated total energy = -0.6133 Ry/atom; raw formation energy = -592 meV per atom
1.0
-3.206 -2.736 -5.194
-2.568 -4.801 4.114
-0.949 6.452 1.494
Na Pu Mn N
4 3 1 8
Direct
0.500 0.000 0.000
0.500 0.000 0.500
0.000 0.000 0.000
0.000 0.000 0.500
0.500 0.500 0.000
0.500 0.500 0.500
0.000 0.500 0.500
0.000 0.500 0.000
0.226 0.683 0.958
0.226 0.684 0.452
0.271 0.312 0.541
0.732 0.683 0.958
0.268 0.317 0.042
0.729 0.688 0.459
0.774 0.316 0.548
0.774 0.317 0.042

GGA-PBE InSiMo2, relaxed; polymorph energy (0 for the lowest one) = 145 meV per atom; M_tot = 0.00 μB per atom; calculated total energy = -0.5345 Ry/atom; raw formation energy = 184 meV per atom
1.0
3.843 0.000 0.000
0.000 2.920 -0.001
0.000 2.051 5.977
In Mo Si
1 2 1
Direct
0.500 0.750 0.750
0.000 0.055 0.044
0.000 0.445 0.456
0.500 0.250 0.250

GGA-PBE Cd2TcOsO, relaxed; M_tot = 0.44 μB per atom; calculated total energy = -0.3714 Ry/atom; raw formation energy = 623 meV per atom
1.0
-2.710 1.852 -3.530
2.547 -1.023 -2.493
-2.219 -4.247 -0.524
Os Tc O Cd
1 1 1 2
Direct
0.000 0.500 0.000
0.500 0.500 0.500
0.000 0.000 0.000
0.000 0.000 0.500
0.500 0.000 0.000

GGA-PBE Dy3GaSi2Pd9, relaxed; M_tot = 0.00 μB per atom; calculated total energy = -0.4139 Ry/atom; raw formation energy = -670 meV per atom
1.0
5.702 0.000 0.000
-2.851 4.938 0.000
0.000 0.000 10.534
Dy Ga Si Pd
3 1 2 9
Direct
0.333 0.667 0.589
0.000 0.000 0.000
0.667 0.333 0.411
0.000 0.000 0.500
0.333 0.667 0.161
0.667 0.333 0.839
0.834 0.166 0.681
0.834 0.669 0.681
0.331 0.166 0.681
0.669 0.834 0.319
0.166 0.331 0.319
0.166 0.834 0.319
0.500 0.000 0.000
0.000 0.500 0.000
0.500 0.500 0.000

GGA-PBE CoB2Rh6, relaxed; M_tot = 0.14 μB per atom; calculated total energy = -0.5317 Ry/atom; energy of formation = -0.0602 eV per atom
1.0
-1.158 -1.373 2.081
4.774 -0.154 4.370
-2.269 4.784 3.710
Co B Rh
1 2 6
Direct
0.000 0.500 0.500
0.420 0.397 0.764
0.580 0.603 0.236
0.023 0.130 0.824
0.259 0.352 0.129
0.741 0.648 0.871
0.314 0.825 0.548
0.686 0.175 0.452
0.977 0.870 0.176

GGA-PBE Ba2MgZn4Ge3, relaxed; M_tot = 0.00 μB per atom; calculated total energy = -0.2046 Ry/atom; energy of formation = -0.3449 eV per atom
1.0
-1.406 3.838 1.899
-4.245 -1.510 -0.092
1.393 -4.533 10.195
Ba Mg Zn Ge
2 1 4 3
Direct
0.500 0.000 0.236
0.000 0.500 0.764
0.500 0.500 0.500
0.500 0.500 0.000
0.000 0.000 0.000
0.500 0.000 0.639
0.000 0.500 0.361
0.000 0.000 0.500
0.500 0.000 0.873
0.000 0.500 0.127